Material: BeNbAg2H
Method: DFT, PBE-GGA
State: optimized geometry

Values from the calculation:
SG: P4/mmm
mass density: 6.2 g/cm³
final energy: -3.48 eV/atom

Unit cell a=4.315 b=4.315 c=4.570 alpha=90.00 beta=90.00 gamma=90.00
Positions (direct):
Be (0.000, 0.000, 0.000)
Nb (0.000, 0.000, 0.500)
Ag (0.000, 0.500, 0.000)
Ag (0.500, 0.000, 0.000)
H (0.500, 0.500, 0.500)